VASP calculation (PBE) on crystalline YPb2O2 at its relaxed geometry.

Unit cell a=3.987 b=3.987 c=13.071 alpha=90.00 beta=90.00 gamma=90.00
Space group I4/mmm (No. 139)
One atom of each set of equivalent atoms:
Y (0.000, 0.000, 0.000) x2
Pb (0.000, 0.500, 0.250) x4
O (0.000, 0.000, 0.405) x4

Total magnetization, μB per atom: 0.00
Crystal system: tetragonal
DOS(E_F), states/eV/atom: 0.525
Relative energy among the computed polymorphs, meV per atom: 1149.3
Formation energy without anion corrections, meV/atom: -308

---

VASP calculation (PBE) on crystalline LaBeSiPd2 at its relaxed geometry.

Unit cell a=5.117 b=5.117 c=5.142 alpha=90.00 beta=90.00 gamma=90.00
Space group P4/mmm (No. 123)
One atom of each set of equivalent atoms:
La (0.000, 0.000, 0.000) x1
Be (0.000, 0.000, 0.500) x1
Si (0.500, 0.500, 0.500) x1
Pd (0.000, 0.500, 0.000) x2

Total magnetization, μB per atom: 0.00
Crystal system: tetragonal
DOS(E_F), states/eV/atom: 0.709
Formation energy without anion corrections, meV/atom: 1312

---

VASP calculation (PBE) on crystalline Ag5Cl4F at its relaxed geometry.

Unit cell a=8.311 b=8.311 c=6.491 alpha=90.00 beta=90.00 gamma=90.00
Space group I4 (No. 79)
One atom of each set of equivalent atoms:
Ag (0.000, 0.000, 0.000) x2
Ag (0.087, 0.282, 0.464) x8
Cl (0.115, 0.298, 0.879) x8
F (0.000, 0.000, 0.366) x2

Total magnetization, μB per atom: 0.00
Crystal system: tetragonal
Formation energy without anion corrections, meV/atom: -528

---

VASP calculation (PBE) on crystalline La8Sm5Dy at its relaxed geometry.

Unit cell a=9.905 b=9.905 c=10.371 alpha=90.00 beta=90.00 gamma=90.00
Space group I-4 (No. 82)
One atom of each set of equivalent atoms:
La (0.068, 0.170, 0.343) x8
La (0.082, 0.314, 0.005) x8
Sm (0.000, 0.500, 0.250) x2
Sm (0.103, 0.296, 0.676) x8
Dy (0.000, 0.000, 0.000) x2

Total magnetization, μB per atom: 0.00
Crystal system: tetragonal
DOS(E_F), states/eV/atom: 1.602
Formation energy, eV/atom: 0.23

---

VASP calculation (PBE) on crystalline YTaAsSe2 at its relaxed geometry.

Unit cell a=4.972 b=4.972 c=5.075 alpha=90.00 beta=90.00 gamma=90.00
Space group P4/mmm (No. 123)
One atom of each set of equivalent atoms:
Y (0.000, 0.000, 0.000) x1
Ta (0.500, 0.500, 0.500) x1
As (0.500, 0.500, 0.000) x1
Se (0.000, 0.500, 0.500) x2

Total magnetization, μB per atom: 0.00
Crystal system: tetragonal
DOS(E_F), states/eV/atom: 0.405
Relative energy among the computed polymorphs, meV per atom: 0.0
Formation energy without anion corrections, meV/atom: -452

---

VASP calculation (PBE) on crystalline CdGaO2F at its relaxed geometry.

Unit cell a=4.239 b=4.239 c=4.419 alpha=90.00 beta=90.00 gamma=90.00
Space group P4/mmm (No. 123)
One atom of each set of equivalent atoms:
Cd (0.000, 0.000, 0.000) x1
Ga (0.500, 0.500, 0.500) x1
O (0.000, 0.500, 0.000) x2
F (0.000, 0.000, 0.500) x1

Total magnetization, μB per atom: 0.29
Crystal system: tetragonal
DOS(E_F), states/eV/atom: 0.581
Formation energy without anion corrections, meV/atom: -489

---

VASP calculation (PBE) on crystalline LiHoTeS at its relaxed geometry.

Unit cell a=4.2148 b=4.2148 c=13.8350 alpha=90.00 beta=90.00 gamma=120.00
Space group P6_3mc (No. 186)
One atom of each set of equivalent atoms:
Li (0.0000, 0.0000, 0.0000) x2
Ho (0.3333, 0.6667, 0.2612) x2
Te (0.3333, 0.6667, 0.9030) x2
S (0.0000, 0.0000, 0.1742) x2

Total magnetization, μB per atom: 0.00
Crystal system: hexagonal
DOS(E_F), states/eV/atom: 0.000
Formation energy without anion corrections, meV/atom: -1554

---

VASP calculation (PBE) on crystalline YCu at its relaxed geometry.

Unit cell a=7.724 b=7.724 c=7.724 alpha=90.00 beta=90.00 gamma=90.00
Space group Pm-3n (No. 223)
One atom of each set of equivalent atoms:
Y (0.000, 0.250, 0.500) x6
Cu (0.000, 0.500, 0.250) x6

Total magnetization, μB per atom: 0.00
Crystal system: cubic
DOS(E_F), states/eV/atom: 0.487
Formation energy, eV/atom: 0.72

---

VASP calculation (PBE) on crystalline NdAs12Ru4 at its relaxed geometry.

Unit cell a=8.599 b=8.599 c=8.599 alpha=90.00 beta=90.00 gamma=90.00
Space group Im-3 (No. 204)
One atom of each set of equivalent atoms:
Nd (0.000, 0.000, 0.000) x2
As (0.000, 0.349, 0.150) x24
Ru (0.250, 0.250, 0.250) x8

Total magnetization, μB per atom: 0.00
Crystal system: cubic
DOS(E_F), states/eV/atom: 0.424
Formation energy, eV/atom: -0.46

---

VASP calculation (PBE) on crystalline PuZn6Cu6 at its relaxed geometry.

Unit cell a=4.945 b=8.714 c=8.851 alpha=90.00 beta=90.00 gamma=90.00
Space group Immm (No. 71)
One atom of each set of equivalent atoms:
Pu (0.000, 0.000, 0.000) x2
Zn (0.000, 0.000, 0.350) x4
Zn (0.000, 0.347, 0.000) x4
Zn (0.000, 0.500, 0.297) x4
Cu (0.000, 0.272, 0.500) x4
Cu (0.250, 0.250, 0.250) x8

Total magnetization, μB per atom: 0.48
Crystal system: orthorhombic
DOS(E_F), states/eV/atom: 1.420
Formation energy, eV/atom: -0.09

---

VASP calculation (PBE) on crystalline TcNiB2 at its relaxed geometry.

Unit cell a=5.238 b=3.010 c=9.538 alpha=90.00 beta=90.00 gamma=90.00
Space group Pnma (No. 62)
One atom of each set of equivalent atoms:
Tc (0.141, 0.250, 0.183) x4
Ni (0.181, 0.250, 0.457) x4
B (0.025, 0.250, 0.658) x4
B (0.179, 0.250, 0.835) x4

Total magnetization, μB per atom: 0.00
Crystal system: orthorhombic
DOS(E_F), states/eV/atom: 0.427
Formation energy, eV/atom: -0.25
Relative energy among the computed polymorphs, meV per atom: 0.0

---

VASP calculation (PBE) on crystalline LaCo2Ru at its relaxed geometry.

Unit cell a=6.389 b=6.389 c=6.389 alpha=90.00 beta=90.00 gamma=90.00
Space group F-43m (No. 216)
One atom of each set of equivalent atoms:
La (0.000, 0.000, 0.000) x4
Co (0.000, 0.000, 0.500) x4
Co (0.250, 0.250, 0.250) x4
Ru (0.250, 0.250, 0.750) x4

Total magnetization, μB per atom: 0.79
Crystal system: cubic
DOS(E_F), states/eV/atom: 1.832
Formation energy, eV/atom: 0.38

---

> Among the records above, which one has the highest total magnetization?

LaCo2Ru

---

> Which formula does entry 2 have?

LaBeSiPd2